Dy8AlHg2: relaxed, GGA-PBE.

```
Dy8AlHg2
1.0
8.981 -2.596 0.000
8.981 2.596 0.000
-2.004 0.000 6.695
Dy Al Hg
8 1 2
Direct
0.023 0.023 0.271
0.195 0.195 0.805
0.335 0.335 0.531
0.409 0.409 0.043
0.591 0.591 0.957
0.665 0.665 0.469
0.805 0.805 0.195
0.977 0.977 0.729
0.500 0.500 0.500
0.185 0.185 0.219
0.815 0.815 0.781
```

Computed properties:
energy above the lowest structure with this stoichiometry: 0 meV/atom

Dy6AlHg3: relaxed, GGA-PBE.

```
Dy6AlHg3
1.0
9.293 0.000 0.000
0.000 5.163 0.000
-3.208 0.000 11.038
Dy Al Hg
12 2 6
Direct
0.027 0.250 0.402
0.155 0.750 0.177
0.268 0.250 0.006
0.346 0.750 0.830
0.376 0.250 0.334
0.381 0.250 0.617
0.619 0.750 0.383
0.624 0.750 0.666
0.654 0.250 0.170
0.732 0.750 0.994
0.845 0.250 0.823
0.973 0.750 0.598
0.453 0.750 0.116
0.547 0.250 0.884
0.023 0.750 0.880
0.125 0.250 0.726
0.277 0.750 0.466
0.723 0.250 0.534
0.875 0.750 0.274
0.977 0.250 0.120
```

Dy4Al2Hg: relaxed, GGA-PBE.

```
Dy4Al2Hg
1.0
2.566 1.482 8.284
-2.566 1.482 8.284
0.000 -2.963 8.284
Dy Al Hg
4 2 1
Direct
0.118 0.118 0.118
0.371 0.371 0.371
0.629 0.629 0.629
0.882 0.882 0.882
0.249 0.249 0.249
0.751 0.751 0.751
0.500 0.500 0.500
```

Dy6Al2Hg: relaxed, GGA-PBE.

```
Dy6Al2Hg
1.0
-2.514 3.593 7.591
2.514 -3.593 7.591
2.514 3.593 -7.591
Dy Al Hg
6 2 1
Direct
0.083 0.332 0.750
0.248 0.000 0.248
0.418 0.668 0.750
0.582 0.332 0.250
0.752 0.000 0.752
0.917 0.668 0.250
0.167 0.167 0.000
0.833 0.833 0.000
0.500 0.500 0.000
```

Computed properties:
energy above the lowest structure with this stoichiometry: 221 meV/atom

DyAl4Hg: relaxed, GGA-PBE.

```
DyAl4Hg
1.0
0.000 3.930 3.930
3.930 0.000 3.930
3.930 3.930 0.000
Dy Al Hg
1 4 1
Direct
0.000 0.000 0.000
0.122 0.626 0.626
0.626 0.122 0.626
0.626 0.626 0.122
0.626 0.626 0.626
0.250 0.250 0.250
```

Dy4Al12Hg: relaxed, GGA-PBE.

```
Dy4Al12Hg
1.0
-4.378 4.378 4.378
4.378 -4.378 4.378
4.378 4.378 -4.378
Dy Al Hg
4 12 1
Direct
0.000 0.000 0.500
0.000 0.500 0.000
0.500 0.000 0.000
0.500 0.500 0.500
0.000 0.311 0.311
0.000 0.689 0.689
0.250 0.500 0.750
0.250 0.750 0.500
0.311 0.000 0.311
0.311 0.311 0.000
0.500 0.250 0.750
0.500 0.750 0.250
0.689 0.000 0.689
0.689 0.689 0.000
0.750 0.250 0.500
0.750 0.500 0.250
0.000 0.000 0.000
```

Dy2Al2Hg: relaxed, GGA-PBE.

```
Dy2Al2Hg
1.0
5.460 -2.281 0.000
5.460 2.281 0.000
-4.774 0.000 9.465
Dy Al Hg
4 4 2
Direct
0.010 0.010 0.326
0.179 0.179 0.094
0.821 0.821 0.906
0.990 0.990 0.674
0.365 0.365 0.436
0.475 0.475 0.113
0.525 0.525 0.887
0.635 0.635 0.564
0.275 0.275 0.660
0.725 0.725 0.340
```

Dy5Al2Hg2: relaxed, GGA-PBE.

```
Dy5Al2Hg2
1.0
8.130 -3.877 0.000
8.130 3.877 0.000
0.000 0.000 7.662
Dy Al Hg
10 4 4
Direct
0.000 0.000 0.000
0.049 0.682 0.674
0.182 0.549 0.174
0.318 0.951 0.674
0.451 0.818 0.174
0.500 0.500 0.500
0.549 0.182 0.826
0.682 0.049 0.326
0.818 0.451 0.826
0.951 0.318 0.326
0.119 0.881 0.380
0.381 0.619 0.880
0.619 0.381 0.120
0.881 0.119 0.620
0.215 0.215 0.000
0.285 0.285 0.500
0.715 0.715 0.500
0.785 0.785 0.000
```

Dy2Al3Hg: relaxed, GGA-PBE.

```
Dy2Al3Hg
1.0
3.559 0.000 0.000
0.000 4.592 0.000
0.000 0.000 7.990
Dy Al Hg
2 3 1
Direct
0.000 0.000 0.000
0.000 0.500 0.484
0.500 0.000 0.325
0.500 0.000 0.655
0.500 0.500 0.162
0.500 0.500 0.825
```

Computed properties:
energy above the lowest structure with this stoichiometry: 0 meV/atom

Dy5Al2Hg: relaxed, GGA-PBE.

```
Dy5Al2Hg
1.0
-3.826 3.826 7.429
3.826 -3.826 7.429
3.826 3.826 -7.429
Dy Al Hg
10 4 2
Direct
0.000 0.000 0.000
0.023 0.523 0.841
0.182 0.023 0.500
0.318 0.818 0.841
0.477 0.318 0.500
0.500 0.500 0.000
0.523 0.682 0.500
0.682 0.182 0.159
0.818 0.977 0.500
0.977 0.477 0.159
0.121 0.379 0.500
0.379 0.879 0.258
0.621 0.121 0.742
0.879 0.621 0.500
0.250 0.250 0.000
0.750 0.750 0.000
```

Across the entries above, E_form takes the values -223; -340; -259; -56; -139; -375; -435; -379; -478; -320 meV/atom, respectively.